[1]
Density functional theory data (meta-GGA SCAN) for a PBEsol-optimized structure of CaS2BrCl.

Cell: 5.5292 5.5292 5.0642 Å, 90.00 90.00 90.00°
Fractional positions:
Ca 0.0000 0.0000 0.0000
S 0.0000 0.5000 0.0000
S 0.5000 0.0000 0.0000
Br 0.5000 0.5000 0.5000
Cl 0.0000 0.0000 0.5000

Values from the calculation:
Fermi-level density of states, states/eV/f.u.: 1.40
Calculated total energy, eV/atom: -11.62
ρ, g cm⁻³: 2.35
Total magnetic moment, μB/atom: 0.802


[2]
Density functional theory data (meta-GGA SCAN) for a PBEsol-optimized structure of CaTcBrCl2.

Cell: 5.7957 5.7957 4.4993 Å, 90.00 90.00 90.00°
Fractional positions:
Ca 0.0000 0.0000 0.0000
Tc 0.5000 0.5000 0.0000
Br 0.5000 0.5000 0.5000
Cl 0.0000 0.5000 0.5000
Cl 0.5000 0.0000 0.5000

Values from the calculation:
Fermi-level density of states, states/eV/f.u.: 2.15
Calculated total energy, eV/atom: -15.87
ρ, g cm⁻³: 3.17
Total magnetic moment, μB/atom: 0.470